(1)
The following is a DFT calculation (SCAN) of a PBEsol-optimized structure of BeSBr2.

CIF file:
```
data_BeSBr2
_chemical_formula_sum 'Be4 S4 Br8'
_symmetry_space_group_name_H-M 'F m -3 m'
_symmetry_Int_Tables_number 225
_symmetry_space_group_name_Hall '-F 4 2 3'
_cell_length_a 6.632
_cell_length_b 6.632
_cell_length_c 6.632
_cell_angle_alpha 90.00
_cell_angle_beta 90.00
_cell_angle_gamma 90.00
loop_
_atom_site_label
_atom_site_fract_x
_atom_site_fract_y
_atom_site_fract_z
Be1 0.000 0.000 0.000
S1 0.000 0.000 0.500
Br1 0.250 0.250 0.250
```

D(E_F), states/eV/cell: 7.2
Spin magnetization, μB/cell: 7.9
VASP energy, eV per formula unit: -49.2

***

(2)
The following is a DFT calculation (SCAN) of a PBEsol-optimized structure of Ca2VClO4.

CIF file:
```
data_Ca2VClO4
_chemical_formula_sum 'Ca8 V4 Cl4 O16'
_symmetry_space_group_name_H-M 'P b c m'
_symmetry_Int_Tables_number 57
_cell_length_a 6.257
_cell_length_b 7.103
_cell_length_c 10.956
_cell_angle_alpha 90.00
_cell_angle_beta 90.00
_cell_angle_gamma 90.00
loop_
_symmetry_equiv_pos_as_xyz
'x,y,z'
'-x,-y,-z'
'-x,-y,z+1/2'
'x,y,-z+1/2'
'x,-y+1/2,-z'
'-x,y+1/2,z'
'-x,y+1/2,-z+1/2'
'x,-y+1/2,z+1/2'
loop_
_atom_site_label
_atom_site_fract_x
_atom_site_fract_y
_atom_site_fract_z
Ca1 0.120 0.250 0.000
Ca2 0.358 0.529 0.250
V1 0.374 0.750 0.000
Cl1 0.015 0.692 0.750
O1 0.209 0.564 0.030
O2 0.462 0.230 0.625
```

D(E_F), states/eV/cell: 0.0
Spin magnetization, μB/cell: 0.0
VASP energy, eV per formula unit: -94.3

***

(3)
The following is a DFT calculation (SCAN) of a PBEsol-optimized structure of Al2Cd2Se.

CIF file:
```
data_Al2Cd2Se
_chemical_formula_sum 'Al4 Cd4 Se2'
_symmetry_space_group_name_H-M 'P 4/m b m'
_symmetry_Int_Tables_number 127
_symmetry_space_group_name_Hall '-P 4 2ab'
_cell_length_a 7.420
_cell_length_b 7.420
_cell_length_c 3.855
_cell_angle_alpha 90.00
_cell_angle_beta 90.00
_cell_angle_gamma 90.00
loop_
_atom_site_label
_atom_site_fract_x
_atom_site_fract_y
_atom_site_fract_z
Al1 0.165 0.335 0.000
Cd1 0.136 0.636 0.500
Se1 0.000 0.000 0.500
```

D(E_F), states/eV/cell: 4.2
Spin magnetization, μB/cell: 0.0
VASP energy, eV per formula unit: -95.2

***

(4)
The following is a DFT calculation (SCAN) of a PBEsol-optimized structure of CrIrPt.

CIF file:
```
data_CrIrPt
_chemical_formula_sum 'Cr2 Ir2 Pt2'
_symmetry_space_group_name_H-M 'I 4 m m'
_symmetry_Int_Tables_number 107
_symmetry_space_group_name_Hall 'I 4 -2'
_cell_length_a 2.677
_cell_length_b 2.677
_cell_length_c 11.253
_cell_angle_alpha 90.00
_cell_angle_beta 90.00
_cell_angle_gamma 90.00
loop_
_atom_site_label
_atom_site_fract_x
_atom_site_fract_y
_atom_site_fract_z
Cr1 0.000 0.000 0.000
Ir1 0.000 0.000 0.353
Pt1 0.000 0.000 0.664
```

E_form, eV per formula unit: -0.76
D(E_F), states/eV/cell: 5.5
Spin magnetization, μB/cell: 0.0
Offset from the most stable computed form, meV/atom: 0

***

(5)
The following is a DFT calculation (SCAN) of a PBEsol-optimized structure of CrFeBi2O6.

CIF file:
```
data_CrFeBi2O6
_chemical_formula_sum 'Cr3 Fe3 Bi6 O18'
_symmetry_space_group_name_H-M 'R 3'
_symmetry_Int_Tables_number 146
_symmetry_space_group_name_Hall 'R 3'
_cell_length_a 5.5201
_cell_length_b 5.5201
_cell_length_c 13.5216
_cell_angle_alpha 90.00
_cell_angle_beta 90.00
_cell_angle_gamma 120.00
loop_
_atom_site_label
_atom_site_fract_x
_atom_site_fract_y
_atom_site_fract_z
Cr1 0.0000 0.0000 0.0000
Fe1 0.0000 0.0000 0.4945
Bi1 0.0000 0.0000 0.2250
Bi2 0.0000 0.0000 0.7220
O1 0.0113 0.4340 0.2615
O2 0.0195 0.5800 0.7589
```

Spin magnetization, μB/cell: 24.0
VASP energy, eV per formula unit: -247.2

***

(6)
The following is a DFT calculation (SCAN) of a PBEsol-optimized structure of ZnAu3.

CIF file:
```
data_ZnAu3
_chemical_formula_sum 'Zn2 Au6'
_symmetry_space_group_name_H-M 'I m m 2'
_symmetry_Int_Tables_number 44
_cell_length_a 2.976
_cell_length_b 9.152
_cell_length_c 4.751
_cell_angle_alpha 90.00
_cell_angle_beta 90.00
_cell_angle_gamma 90.00
loop_
_symmetry_equiv_pos_as_xyz
'x,y,z'
'-x,-y,z'
'-x,y,z'
'x,-y,z'
'x+1/2,y+1/2,z+1/2'
'-x+1/2,-y+1/2,z+1/2'
'-x+1/2,y+1/2,z+1/2'
'x+1/2,-y+1/2,z+1/2'
loop_
_atom_site_label
_atom_site_fract_x
_atom_site_fract_y
_atom_site_fract_z
Zn1 0.000 0.000 0.000
Au1 0.000 0.265 0.618
Au2 0.000 0.500 0.016
```

E_form, eV per formula unit: -0.52
D(E_F), states/eV/cell: 2.1
Spin magnetization, μB/cell: 0.0

***

(7)
The following is a DFT calculation (SCAN) of a PBEsol-optimized structure of GaBi2HBr.

CIF file:
```
data_GaBi2HBr
_chemical_formula_sum 'Ga1 Bi2 H1 Br1'
_symmetry_space_group_name_H-M 'P 4/m m m'
_symmetry_Int_Tables_number 123
_symmetry_space_group_name_Hall '-P 4 2'
_cell_length_a 5.801
_cell_length_b 5.801
_cell_length_c 3.382
_cell_angle_alpha 90.00
_cell_angle_beta 90.00
_cell_angle_gamma 90.00
loop_
_atom_site_label
_atom_site_fract_x
_atom_site_fract_y
_atom_site_fract_z
Ga1 0.000 0.000 0.000
Bi1 0.000 0.500 0.000
H1 0.000 0.000 0.500
Br1 0.500 0.500 0.500
```

D(E_F), states/eV/cell: 2.3
Spin magnetization, μB/cell: 0.0
VASP energy, eV per formula unit: -195.5

***

(8)
The following is a DFT calculation (SCAN) of a PBEsol-optimized structure of Sc2TcTeAu.

CIF file:
```
data_Sc2TcTeAu
_chemical_formula_sum 'Sc2 Tc1 Te1 Au1'
_symmetry_space_group_name_H-M 'P 4/m m m'
_symmetry_Int_Tables_number 123
_symmetry_space_group_name_Hall '-P 4 2'
_cell_length_a 4.962
_cell_length_b 4.962
_cell_length_c 4.863
_cell_angle_alpha 90.00
_cell_angle_beta 90.00
_cell_angle_gamma 90.00
loop_
_atom_site_label
_atom_site_fract_x
_atom_site_fract_y
_atom_site_fract_z
Sc1 0.000 0.500 0.000
Tc1 0.000 0.000 0.000
Te1 0.500 0.500 0.500
Au1 0.000 0.000 0.500
```

D(E_F), states/eV/cell: 5.2
Spin magnetization, μB/cell: 0.0
VASP energy, eV per formula unit: -169.2

***

(9)
The following is a DFT calculation (SCAN) of a PBEsol-optimized structure of Ti8Cu3S16.

CIF file:
```
data_Ti8Cu3S16
_chemical_formula_sum 'Ti16 Cu6 S32'
_symmetry_space_group_name_H-M 'C 1 2/m 1'
_symmetry_Int_Tables_number 12
_cell_length_a 11.494
_cell_length_b 13.417
_cell_length_c 5.799
_cell_angle_alpha 90.00
_cell_angle_beta 90.06
_cell_angle_gamma 90.00
loop_
_symmetry_equiv_pos_as_xyz
'x,y,z'
'-x,-y,-z'
'-x,y,-z'
'x,-y,z'
'x+1/2,y+1/2,z'
'-x+1/2,-y+1/2,-z'
'-x+1/2,y+1/2,-z'
'x+1/2,-y+1/2,z'
loop_
_atom_site_label
_atom_site_fract_x
_atom_site_fract_y
_atom_site_fract_z
Ti1 0.247 0.000 0.495
Ti2 0.248 0.375 0.999
Ti3 0.250 0.250 0.500
Cu1 0.000 0.132 0.000
Cu2 0.000 0.500 0.500
S1 0.122 0.000 0.830
S2 0.123 0.126 0.336
S3 0.123 0.500 0.838
S4 0.124 0.252 0.831
S5 0.125 0.375 0.333
```

D(E_F), states/eV/cell: 18.7
Spin magnetization, μB/cell: 0.0
VASP energy, eV per formula unit: -363.6

***

(10)
The following is a DFT calculation (SCAN) of a PBEsol-optimized structure of Cs2Te.

CIF file:
```
data_Cs2Te
_chemical_formula_sum 'Cs8 Te4'
_symmetry_space_group_name_H-M 'P n m a'
_symmetry_Int_Tables_number 62
_cell_length_a 9.246
_cell_length_b 5.713
_cell_length_c 11.383
_cell_angle_alpha 90.00
_cell_angle_beta 90.00
_cell_angle_gamma 90.00
loop_
_symmetry_equiv_pos_as_xyz
'x,y,z'
'-x,-y,-z'
'-x+1/2,-y,z+1/2'
'x+1/2,y,-z+1/2'
'x+1/2,-y+1/2,-z+1/2'
'-x+1/2,y+1/2,z+1/2'
'-x,y+1/2,-z'
'x,-y+1/2,z'
loop_
_atom_site_label
_atom_site_fract_x
_atom_site_fract_y
_atom_site_fract_z
Cs1 0.033 0.250 0.176
Cs2 0.148 0.250 0.571
Te1 0.245 0.250 0.883
```

D(E_F), states/eV/cell: 0.0
Spin magnetization, μB/cell: 0.0
VASP energy, eV per formula unit: -116.4